Entry 1:
The following is a PBE calculation of an optimized crystal structure of Co4Rh, from Alexandria via LeMat-Bulk.

Lattice parameters (Å, degrees): 5.821 5.821 5.821 145.42 145.42 49.72
Fractional positions:
Co1 0.104 0.104 0.000
Co2 0.250 0.750 0.500
Co3 0.750 0.250 0.500
Co4 0.896 0.896 0.000
Rh1 0.500 0.500 0.000

Summary:
Excess energy over the best structure of this formula in the dataset in eV per atom: 0.342
Space group: I4/mmm (139)
Formation energy from the elements in kJ/mol of formula units: 184


Entry 2:
The following is a PBE calculation of an optimized crystal structure of Co5Rh3, from Alexandria via LeMat-Bulk.

Lattice parameters (Å, degrees): 7.137 7.137 6.595 93.85 93.85 142.02
Fractional positions:
Co1 0.000 0.000 0.000
Co2 0.045 0.831 0.726
Co3 0.215 0.806 0.425
Co4 0.420 0.641 0.448
Co5 0.447 0.447 0.182
Co6 0.605 0.857 0.101
Co7 0.641 0.420 0.448
Co8 0.806 0.215 0.425
Co9 0.831 0.045 0.726
Co10 0.857 0.605 0.101
Rh1 0.018 0.018 0.407
Rh2 0.041 0.415 0.102
Rh3 0.240 0.646 0.756
Rh4 0.415 0.041 0.102
Rh5 0.445 0.445 0.775
Rh6 0.646 0.240 0.756

Summary:
Excess energy over the best structure of this formula in the dataset in eV per atom: 0.065
Space group: Cm (8)
Formation energy from the elements in kJ/mol of formula units: 99


Entry 3:
The following is a PBE calculation of an optimized crystal structure of Co3Rh4, from Alexandria via LeMat-Bulk.

Lattice parameters (Å, degrees): 12.754 12.754 12.754 167.95 167.95 17.08
Fractional positions:
Co1 0.000 0.000 0.000
Co2 0.281 0.281 0.000
Co3 0.719 0.719 0.000
Rh1 0.148 0.148 0.000
Rh2 0.430 0.430 0.000
Rh3 0.570 0.570 0.000
Rh4 0.852 0.852 0.000

Summary:
Space group: I4/mmm (139)
Formation energy from the elements in kJ/mol of formula units: 37


Entry 4:
The following is a PBE calculation of an optimized crystal structure of Co3Rh2, from Alexandria via LeMat-Bulk.

Lattice parameters (Å, degrees): 4.871 4.871 4.871 50.58 50.58 50.58
Fractional positions:
Co1 0.000 0.000 0.000
Co2 0.185 0.185 0.185
Co3 0.815 0.815 0.815
Rh1 0.395 0.395 0.395
Rh2 0.605 0.605 0.605

Summary:
Excess energy over the best structure of this formula in the dataset in eV per atom: 0.086
Space group: R-3m (166)
Formation energy from the elements in kJ/mol of formula units: 71


Entry 5:
The following is a PBE calculation of an optimized crystal structure of Co2Rh, from Alexandria via LeMat-Bulk.

Lattice parameters (Å, degrees): 4.482 4.482 4.504 99.82 99.82 119.72
Fractional positions:
Co1 0.080 0.920 0.750
Co2 0.249 0.751 0.250
Co3 0.751 0.249 0.750
Co4 0.920 0.080 0.250
Rh1 0.410 0.590 0.750
Rh2 0.590 0.410 0.250

Summary:
Space group: C2/c (15)
Formation energy from the elements in kJ/mol of formula units: 17


Entry 6:
The following is a PBE calculation of an optimized crystal structure of Co2Rh, from Alexandria via LeMat-Bulk.

Lattice parameters (Å, degrees): 4.146 4.146 5.048 90.00 90.00 120.00
Fractional positions:
Co1 0.000 0.000 0.000
Co2 0.000 0.000 0.500
Co3 0.333 0.667 0.250
Co4 0.667 0.333 0.750
Rh1 0.333 0.667 0.750
Rh2 0.667 0.333 0.250

Summary:
Space group: P6_3/mmc (194)
Formation energy from the elements in kJ/mol of formula units: 40


Entry 7:
The following is a PBE calculation of an optimized crystal structure of Co2Rh, from Alexandria via LeMat-Bulk.

Lattice parameters (Å, degrees): 4.662 4.662 4.284 90.00 90.00 125.91
Fractional positions:
Co1 0.086 0.914 0.750
Co2 0.251 0.749 0.250
Co3 0.749 0.251 0.750
Co4 0.914 0.086 0.250
Rh1 0.408 0.592 0.750
Rh2 0.592 0.408 0.250

Summary:
Space group: Cmcm (63)
Formation energy from the elements in kJ/mol of formula units: 52


Entry 8:
The following is a PBE calculation of an optimized crystal structure of Co3Rh2, from Alexandria via LeMat-Bulk.

Lattice parameters (Å, degrees): 10.529 10.529 10.529 14.34 14.34 14.34
Fractional positions:
Co1 0.000 0.000 0.000
Co2 0.197 0.197 0.197
Co3 0.803 0.803 0.803
Rh1 0.401 0.401 0.401
Rh2 0.599 0.599 0.599

Summary:
Excess energy over the best structure of this formula in the dataset in eV per atom: 0.010
Space group: R-3m (166)
Formation energy from the elements in kJ/mol of formula units: 35


Entry 9:
The following is a PBE calculation of an optimized crystal structure of Co3Rh, from Alexandria via LeMat-Bulk.

Lattice parameters (Å, degrees): 8.400 8.400 8.400 17.78 17.78 17.78
Fractional positions:
Co1 0.000 0.000 0.000
Co2 0.254 0.254 0.254
Co3 0.746 0.746 0.746
Rh1 0.500 0.500 0.500

Summary:
Space group: R-3m (166)
Formation energy from the elements in kJ/mol of formula units: 32


Entry 10:
The following is a PBE calculation of an optimized crystal structure of Co13Rh3, from Alexandria via LeMat-Bulk.

Lattice parameters (Å, degrees): 5.132 5.132 8.232 90.00 90.00 120.00
Fractional positions:
Co1 0.000 0.000 0.000
Co2 0.160 0.319 0.500
Co3 0.160 0.840 0.500
Co4 0.328 0.164 0.245
Co5 0.328 0.164 0.755
Co6 0.504 0.007 0.000
Co7 0.504 0.496 0.000
Co8 0.681 0.840 0.500
Co9 0.836 0.164 0.245
Co10 0.836 0.164 0.755
Co11 0.836 0.672 0.245
Co12 0.836 0.672 0.755
Co13 0.993 0.496 0.000
Rh1 0.333 0.667 0.252
Rh2 0.333 0.667 0.748
Rh3 0.667 0.333 0.500

Summary:
Space group: P-6m2 (187)
Formation energy from the elements in kJ/mol of formula units: 46


Entry 11:
The following is a PBE calculation of an optimized crystal structure of Co2Rh3, from Alexandria via LeMat-Bulk.

Lattice parameters (Å, degrees): 10.788 10.788 10.788 14.18 14.18 14.18
Fractional positions:
Co1 0.101 0.101 0.101
Co2 0.899 0.899 0.899
Rh1 0.298 0.298 0.298
Rh2 0.500 0.500 0.500
Rh3 0.702 0.702 0.702

Summary:
Excess energy over the best structure of this formula in the dataset in eV per atom: 0.006
Space group: R-3m (166)
Formation energy from the elements in kJ/mol of formula units: 30


Entry 12:
The following is a PBE calculation of an optimized crystal structure of Co2Rh, from Alexandria via LeMat-Bulk.

Lattice parameters (Å, degrees): 4.446 2.616 6.331 90.00 91.81 90.00
Fractional positions:
Co1 0.000 0.000 0.000
Co2 0.173 0.500 0.318
Co3 0.500 0.500 0.000
Co4 0.827 0.500 0.682
Rh1 0.321 0.000 0.668
Rh2 0.679 0.000 0.332

Summary:
Space group: P2/m (10)
Formation energy from the elements in kJ/mol of formula units: 18


Entry 13:
The following is a PBE calculation of an optimized crystal structure of Co3Rh8, from Alexandria via LeMat-Bulk.

Lattice parameters (Å, degrees): 9.954 9.954 9.954 24.84 24.84 24.84
Fractional positions:
Co1 0.000 0.000 0.000
Co2 0.265 0.265 0.265
Co3 0.735 0.735 0.735
Rh1 0.081 0.081 0.081
Rh2 0.175 0.175 0.175
Rh3 0.359 0.359 0.359
Rh4 0.453 0.453 0.453
Rh5 0.547 0.547 0.547
Rh6 0.641 0.641 0.641
Rh7 0.825 0.825 0.825
Rh8 0.919 0.919 0.919

Summary:
Space group: R-3m (166)
Formation energy from the elements in kJ/mol of formula units: 264


Entry 14:
The following is a PBE calculation of an optimized crystal structure of Co3Rh, from Alexandria via LeMat-Bulk.

Lattice parameters (Å, degrees): 2.944 2.944 5.563 90.00 90.00 90.00
Fractional positions:
Co1 0.000 0.000 0.000
Co2 0.500 0.500 0.224
Co3 0.500 0.500 0.776
Rh1 0.000 0.000 0.500

Summary:
Space group: P4/mmm (123)
Formation energy from the elements in kJ/mol of formula units: 38


Entry 15:
The following is a PBE calculation of an optimized crystal structure of Co8Rh, from Alexandria via LeMat-Bulk.

Lattice parameters (Å, degrees): 5.654 5.654 5.654 95.71 95.71 143.23
Fractional positions:
Co1 0.000 0.338 0.338
Co2 0.000 0.662 0.662
Co3 0.328 0.328 0.656
Co4 0.328 0.672 0.000
Co5 0.338 0.000 0.338
Co6 0.662 0.000 0.662
Co7 0.672 0.328 0.000
Co8 0.672 0.672 0.344
Rh1 0.000 0.000 0.000

Summary:
Space group: I4/mmm (139)
Formation energy from the elements in kJ/mol of formula units: 27


Entry 16:
The following is a PBE calculation of an optimized crystal structure of Co2Rh, from Alexandria via LeMat-Bulk.

Lattice parameters (Å, degrees): 4.734 4.734 4.734 105.98 105.98 116.72
Fractional positions:
Co1 0.139 0.639 0.777
Co2 0.361 0.139 0.500
Co3 0.639 0.861 0.500
Co4 0.861 0.361 0.223
Rh1 0.250 0.250 0.000
Rh2 0.750 0.750 0.000

Summary:
Space group: I4/mcm (140)
Formation energy from the elements in kJ/mol of formula units: 114


Entry 17:
The following is a PBE calculation of an optimized crystal structure of Co3Rh2, from Alexandria via LeMat-Bulk.

Lattice parameters (Å, degrees): 4.497 4.497 5.785 129.57 129.57 48.22
Fractional positions:
Co1 0.000 0.000 0.000
Co2 0.201 0.201 0.593
Co3 0.799 0.799 0.407
Rh1 0.405 0.405 0.201
Rh2 0.595 0.595 0.799

Summary:
Excess energy over the best structure of this formula in the dataset in eV per atom: 0.002
Space group: C2/m (12)
Formation energy from the elements in kJ/mol of formula units: 30


Entry 18:
The following is a PBE calculation of an optimized crystal structure of Co3Rh2, from Alexandria via LeMat-Bulk.

Lattice parameters (Å, degrees): 6.383 6.383 2.608 90.00 90.00 143.75
Fractional positions:
Co1 0.000 0.000 0.000
Co2 0.201 0.799 0.000
Co3 0.799 0.201 0.000
Rh1 0.390 0.610 0.500
Rh2 0.610 0.390 0.500

Summary:
Excess energy over the best structure of this formula in the dataset in eV per atom: 0.007
Space group: Cmmm (65)
Formation energy from the elements in kJ/mol of formula units: 33


Entry 19:
The following is a PBE calculation of an optimized crystal structure of Co2Rh, from Alexandria via LeMat-Bulk.

Lattice parameters (Å, degrees): 4.237 4.237 2.592 90.00 90.00 90.00
Fractional positions:
Co1 0.000 0.500 0.000
Co2 0.500 0.000 0.000
Rh1 0.000 0.000 0.500

Summary:
Space group: P4/mmm (123)
Formation energy from the elements in kJ/mol of formula units: 191


Entry 20:
The following is a PBE calculation of an optimized crystal structure of CoRh3, from Alexandria via LeMat-Bulk.

Lattice parameters (Å, degrees): 4.494 4.494 4.494 90.00 90.00 90.00
Fractional positions:
Co1 0.000 0.000 0.000
Rh1 0.000 0.000 0.500
Rh2 0.000 0.500 0.000
Rh3 0.500 0.000 0.000

Summary:
Space group: Pm-3m (221)
Formation energy from the elements in kJ/mol of formula units: 641


Entry 21:
The following is a PBE calculation of an optimized crystal structure of CoRh3, from Alexandria via LeMat-Bulk.

Lattice parameters (Å, degrees): 2.692 3.738 5.363 90.00 90.24 90.00
Fractional positions:
Co1 0.000 0.000 0.000
Rh1 0.000 0.000 0.500
Rh2 0.500 0.500 0.243
Rh3 0.500 0.500 0.757

Summary:
Space group: P2/m (10)
Formation energy from the elements in kJ/mol of formula units: 18


Entry 22:
The following is a PBE calculation of an optimized crystal structure of Co2Rh, from Alexandria via LeMat-Bulk.

Lattice parameters (Å, degrees): 4.880 4.880 6.175 105.08 105.08 31.25
Fractional positions:
Co1 0.030 0.030 0.285
Co2 0.362 0.362 0.973
Co3 0.638 0.638 0.027
Co4 0.970 0.970 0.715
Rh1 0.315 0.315 0.362
Rh2 0.685 0.685 0.638

Summary:
Space group: C2/m (12)
Formation energy from the elements in kJ/mol of formula units: 9


Entry 23:
The following is a PBE calculation of an optimized crystal structure of CoRh3, from Alexandria via LeMat-Bulk.

Lattice parameters (Å, degrees): 2.708 4.312 4.662 90.00 90.00 90.00
Fractional positions:
Co1 0.000 0.000 0.000
Rh1 0.000 0.500 0.331
Rh2 0.500 0.000 0.499
Rh3 0.500 0.500 0.837

Summary:
Space group: Pmm2 (25)
Formation energy from the elements in kJ/mol of formula units: 19


Entry 24:
The following is a PBE calculation of an optimized crystal structure of Co3Rh, from Alexandria via LeMat-Bulk.

Lattice parameters (Å, degrees): 4.609 4.609 4.609 90.00 90.00 90.00
Fractional positions:
Co1 0.000 0.250 0.500
Co2 0.000 0.750 0.500
Co3 0.250 0.500 0.000
Co4 0.500 0.000 0.250
Co5 0.500 0.000 0.750
Co6 0.750 0.500 0.000
Rh1 0.000 0.000 0.000
Rh2 0.500 0.500 0.500

Summary:
Space group: Pm-3n (223)
Formation energy from the elements in kJ/mol of formula units: 49


Entry 25:
The following is a PBE calculation of an optimized crystal structure of Co2Rh, from Alexandria via LeMat-Bulk.

Lattice parameters (Å, degrees): 11.597 11.597 11.597 167.16 167.16 18.20
Fractional positions:
Co1 0.293 0.543 0.750
Co2 0.457 0.707 0.750
Co3 0.543 0.293 0.250
Co4 0.707 0.457 0.250
Rh1 0.125 0.875 0.250
Rh2 0.875 0.125 0.750

Summary:
Space group: I4_1/amd (141)
Formation energy from the elements in kJ/mol of formula units: 71


Entry 26:
The following is a PBE calculation of an optimized crystal structure of Co3Rh, from Alexandria via LeMat-Bulk.

Lattice parameters (Å, degrees): 4.782 4.782 4.782 116.88 116.88 116.88
Fractional positions:
Co1 0.000 0.500 0.500
Co2 0.500 0.000 0.500
Co3 0.500 0.500 0.000
Rh1 0.000 0.000 0.000

Summary:
Space group: R-3m (166)
Formation energy from the elements in kJ/mol of formula units: 76


Entry 27:
The following is a PBE calculation of an optimized crystal structure of Co3Rh2, from Alexandria via LeMat-Bulk.

Lattice parameters (Å, degrees): 6.954 6.954 6.954 158.11 149.94 37.50
Fractional positions:
Co1 0.000 0.000 0.000
Co2 0.203 0.203 0.000
Co3 0.797 0.797 0.000
Rh1 0.397 0.397 0.000
Rh2 0.603 0.603 0.000

Summary:
Excess energy over the best structure of this formula in the dataset in eV per atom: 0.003
Space group: Immm (71)
Formation energy from the elements in kJ/mol of formula units: 31